Entry from the Alexandria database: a relaxed CaHo2ErSb4 crystal (PBE).

The value obtained for the formation energy without anion corrections is -1.02 eV/atom. The calculation puts the spin magnetization at 0.0 μB per formula unit.

abc: 4.3682 7.6387 7.6490
angles: 70.92 90.00 90.00
Fractional coordinates of all 8 atoms:
Ca: 0.5000 0.5000 0.0000
Ho: 0.0000 0.0000 0.0000
Ho: 0.5000 0.0000 0.5000
Er: 0.0000 0.5000 0.5000
Sb: 0.0000 0.7565 0.7427
Sb: 0.0000 0.2436 0.2573
Sb: 0.5000 0.7521 0.2537
Sb: 0.5000 0.2479 0.7463